First-principles (GGA-PBE) data for a geometry-optimized POs2Rh structure, as listed in Alexandria.

The value obtained for the raw total energy is -8.447 eV/atom. The formation enthalpy at 0 K is 1.43 eV per formula unit. As for the crystal system: tetragonal. For the density of states at the Fermi level, the calculation gives 0.621 states/eV per atom. The total magnetization comes out at 0.000 μB per cell.

The space group is I4/mmm (No. 139) and the conventional cell measures 3.9481, 3.9481 and 7.0744 Å, with angles of 90.00, 90.00 and 90.00 degrees. The asymmetric unit holds P at (0.0000, 0.0000, 0.0000), Os at (0.0000, 0.5000, 0.2500) and Rh at (0.0000, 0.0000, 0.5000).


First-principles (GGA-PBE) data for a geometry-optimized P2OsRh structure, as listed in Alexandria.

The value obtained for the raw total energy is -7.387 eV/atom. The formation enthalpy at 0 K is -0.15 eV per formula unit. As for the crystal system: tetragonal. For the density of states at the Fermi level, the calculation gives 0.914 states/eV per atom. The total magnetization comes out at 0.001 μB per cell.

The space group is P4mm (No. 99) and the conventional cell measures 2.8643, 2.8643 and 7.6177 Å, with angles of 90.00, 90.00 and 90.00 degrees. The asymmetric unit holds P at (0.0000, 0.0000, 0.0000), P at (0.5000, 0.5000, 0.3765), Os at (0.5000, 0.5000, 0.8282) and Rh at (0.0000, 0.0000, 0.5538).


First-principles (GGA-PBE) data for a geometry-optimized POs2Rh structure, as listed in Alexandria.

The value obtained for the raw total energy is -8.727 eV/atom. The formation enthalpy at 0 K is 0.31 eV per formula unit. As for the crystal system: tetragonal. For the density of states at the Fermi level, the calculation gives 0.888 states/eV per atom. The total magnetization comes out at 0.000 μB per cell.

The space group is P4/mmm (No. 123) and the conventional cell measures 2.8639, 2.8639 and 6.6221 Å, with angles of 90.00, 90.00 and 90.00 degrees. The asymmetric unit holds P at (0.0000, 0.0000, 0.0000), Os at (0.5000, 0.5000, 0.2103) and Rh at (0.0000, 0.0000, 0.5000).


First-principles (GGA-PBE) data for a geometry-optimized P2OsRh structure, as listed in Alexandria.

The value obtained for the raw total energy is -7.690 eV/atom. The formation enthalpy at 0 K is -1.36 eV per formula unit. As for the crystal system: monoclinic. For the density of states at the Fermi level, the calculation gives 0.443 states/eV per atom. The total magnetization comes out at 0.000 μB per cell.

The space group is Cm (No. 8) and the conventional cell measures 7.5186, 2.9520 and 5.3975 Å, with angles of 90.00, 90.61 and 90.00 degrees. The asymmetric unit holds P at (0.0000, 0.0000, 0.0000), P at (0.1677, 0.5000, 0.4797), Os at (0.2780, 0.0000, 0.1823) and Rh at (0.3974, 0.0000, 0.6854).